# 1
Compound: Pd13Pb9
Source: the Open Quantum Materials Database
Functional: PBE-GGA
Structure: optimized geometry

a = 9.1717 Å, b = 9.1717 Å, c = 14.1088 Å
α = 119.06°, β = 119.06°, γ = 60.22°
Positions (direct):
1 Pb 0.7472 0.9189 0.1138
2 Pb 0.2284 0.9737 0.1179
3 Pb 0.7506 0.5080 0.1182
4 Pb 0.1705 0.5081 0.1239
5 Pb 0.6232 0.3768 0.2500
6 Pb 0.4919 0.8295 0.3761
7 Pb 0.4920 0.2494 0.3818
8 Pb 0.0263 0.7716 0.3821
9 Pb 0.0811 0.2528 0.3862
10 Pb 0.9189 0.7472 0.6138
11 Pb 0.9737 0.2284 0.6179
12 Pb 0.5080 0.7506 0.6182
13 Pb 0.5081 0.1705 0.6239
14 Pb 0.3768 0.6232 0.7500
15 Pb 0.8295 0.4919 0.8761
16 Pb 0.2494 0.4920 0.8818
17 Pb 0.7716 0.0263 0.8821
18 Pb 0.2528 0.0811 0.8862
19 Pd 0.0000 0.2363 0.0005
20 Pd 0.5199 0.2437 0.0054
21 Pd 0.4020 0.6326 0.1258
22 Pd 0.4029 0.1566 0.1301
23 Pd 0.8947 0.1567 0.1397
24 Pd 0.6222 0.8766 0.2496
25 Pd 0.1247 0.8753 0.2500
26 Pd 0.1234 0.3778 0.2504
27 Pd 0.8433 0.1053 0.3603
28 Pd 0.8434 0.5971 0.3699
29 Pd 0.3674 0.5980 0.3742
30 Pd 0.7563 0.4801 0.4946
31 Pd 0.7637 0.0000 0.4995
32 Pd 0.2363 0.0000 0.5005
33 Pd 0.2437 0.5199 0.5054
34 Pd 0.6326 0.4020 0.6258
35 Pd 0.1566 0.4029 0.6301
36 Pd 0.1567 0.8947 0.6397
37 Pd 0.8766 0.6222 0.7496
38 Pd 0.8753 0.1247 0.7500
39 Pd 0.3778 0.1234 0.7504
40 Pd 0.1053 0.8433 0.8603
41 Pd 0.5971 0.8434 0.8699
42 Pd 0.5980 0.3674 0.8742
43 Pd 0.4801 0.7563 0.9946
44 Pd 0.0000 0.7637 0.9995

Summary:
Symmetry   No. 15
VASP energy   -4.8284 eV/atom

=====

# 2
Compound: Ba2AlMoS6
Source: the Open Quantum Materials Database
Functional: PBE-GGA
Structure: optimized geometry

a = 6.7985 Å, b = 6.7985 Å, c = 6.7985 Å
α = 120.00°, β = 90.00°, γ = 120.00°
Last column: magnetic moment on the atom in μB.
Positions (direct):
1 Al 0.0000 0.0000 0.0000  0.00
2 Ba 0.7500 0.5000 0.2500  0.01
3 Ba 0.2500 0.5000 0.7500  0.01
4 Mo 0.5000 0.0000 0.5000  0.61
5 S 0.2488 0.0000 0.2488  0.00
6 S 0.2488 0.4976 0.2488  0.00
7 S 0.7512 0.0000 0.2488  0.00
8 S 0.7512 0.5024 0.7512  0.00
9 S 0.2488 0.0000 0.7512  0.00
10 S 0.7512 0.0000 0.7512  0.00

Summary:
Symmetry   No. 225
VASP energy   -5.4639 eV/atom

=====

# 3
Compound: NdSmCo2
Source: the Open Quantum Materials Database
Functional: PBE-GGA
Structure: optimized geometry

a = 3.9119 Å, b = 5.7326 Å, c = 5.7326 Å
α = 41.19°, β = 90.00°, γ = 90.00°
Last column: magnetic moment on the atom in μB.
Positions (direct):
1 Co 0.5000 0.4434 0.4434  0.06
2 Co 0.0000 0.5594 0.5594  0.07
3 Nd 0.0000 0.8556 0.8556  -0.02
4 Sm 0.5000 0.1416 0.1416  -0.02

Summary:
Symmetry   No. 38
VASP energy   -6.0101 eV/atom

=====

# 4
Compound: Sc2TcBi
Source: the Open Quantum Materials Database
Functional: PBE-GGA
Structure: optimized geometry

a = 4.8032 Å, b = 4.8032 Å, c = 4.8032 Å
α = 60.00°, β = 60.00°, γ = 60.00°
Positions (direct):
1 Bi 0.5000 0.5000 0.5000
2 Sc 0.0000 0.0000 0.0000
3 Sc 0.7500 0.7500 0.7500
4 Tc 0.2500 0.2500 0.2500

Summary:
Symmetry   No. 216
VASP energy   -6.8953 eV/atom

=====

# 5
Compound: TaCdNO
Source: the Open Quantum Materials Database
Functional: PBE-GGA
Structure: optimized geometry

a = 3.3897 Å, b = 5.9853 Å, c = 7.6170 Å
α = 90.00°, β = 90.00°, γ = 90.00°
Positions (direct):
1 Cd 0.5000 0.0010 0.1577
2 Cd 0.5000 0.5010 0.8423
3 N 0.0000 0.7510 0.5000
4 N 0.0000 0.2510 0.5000
5 O 0.5000 0.5010 0.2267
6 O 0.5000 0.0010 0.7733
7 Ta 0.0000 0.5010 0.3499
8 Ta 0.0000 0.0010 0.6501

Summary:
Energy above the most stable polymorph in this dataset   56.6 meV per atom
Symmetry   No. 51
VASP energy   -7.5481 eV/atom

=====

# 6
Compound: HfGaCoCu
Source: the Open Quantum Materials Database
Functional: PBE-GGA
Structure: optimized geometry

a = 4.3179 Å, b = 4.3179 Å, c = 4.3179 Å
α = 60.00°, β = 60.00°, γ = 60.00°
Positions (direct):
1 Co 0.7500 0.7500 0.7500
2 Cu 0.2500 0.2500 0.2500
3 Ga 0.0000 0.0000 0.0000
4 Hf 0.5000 0.5000 0.5000

Summary:
Energy above the most stable polymorph in this dataset   0.0 meV per atom
Symmetry   No. 216
VASP energy   -6.2719 eV/atom

=====

# 7
Compound: AlZnTe
Source: the Open Quantum Materials Database
Functional: PBE-GGA
Structure: optimized geometry

a = 4.8749 Å, b = 4.8749 Å, c = 4.8749 Å
α = 60.00°, β = 60.00°, γ = 60.00°
Positions (direct):
1 Al 0.2500 0.2500 0.2500
2 Te 0.0000 0.0000 0.0000
3 Zn 0.7500 0.7500 0.7500

Summary:
Energy above the most stable polymorph in this dataset   125.0 meV per atom
Symmetry   No. 216
VASP energy   -2.4031 eV/atom

=====

# 8
Compound: DyYCo2B2As2
Source: the Open Quantum Materials Database
Functional: PBE-GGA
Structure: optimized geometry

a = 3.8058 Å, b = 3.8058 Å, c = 8.5579 Å
α = 90.00°, β = 90.00°, γ = 90.00°
Positions (direct):
1 As 0.0000 0.0000 0.1438
2 As 0.5000 0.5000 0.8562
3 B 0.0000 0.0000 0.4014
4 B 0.5000 0.5000 0.5997
5 Co 0.5000 0.0000 0.5003
6 Co 0.0000 0.5000 0.5003
7 Dy 0.0000 0.0000 0.7679
8 Y 0.5000 0.5000 0.2304

Summary:
Symmetry   No. 99
VASP energy   -6.6342 eV/atom

=====

# 9
Compound: Y2Ge3Mo4C3
Source: the Open Quantum Materials Database
Functional: PBE-GGA
Structure: optimized geometry

a = 5.5699 Å, b = 5.5702 Å, c = 13.7328 Å
α = 101.59°, β = 90.22°, γ = 119.66°
Positions (direct):
1 C 0.5000 0.0000 0.0000
2 C 0.8427 0.6709 0.0002
3 C 0.6708 0.3426 0.4998
4 C 0.0000 0.0000 0.5000
5 C 0.3292 0.6574 0.5002
6 C 0.1573 0.3291 0.9998
7 Ge 0.5867 0.3562 0.2496
8 Ge 0.0640 0.3140 0.2500
9 Ge 0.1066 0.8371 0.2504
10 Ge 0.8934 0.1629 0.7496
11 Ge 0.9360 0.6860 0.7500
12 Ge 0.4133 0.6438 0.7504
13 Mo 0.8490 0.3843 0.0777
14 Mo 0.2011 0.0627 0.0781
15 Mo 0.9844 0.6228 0.4220
16 Mo 0.3068 0.2714 0.4224
17 Mo 0.6932 0.7286 0.5776
18 Mo 0.0156 0.3772 0.5780
19 Mo 0.7989 0.9373 0.9219
20 Mo 0.1510 0.6157 0.9223
21 Y 0.5407 0.7410 0.1180
22 Y 0.6229 0.9226 0.3820
23 Y 0.3771 0.0774 0.6180
24 Y 0.4593 0.2590 0.8820

Summary:
Symmetry   No. 15
VASP energy   -8.4908 eV/atom

=====

# 10
Compound: CoHgGe2
Source: the Open Quantum Materials Database
Functional: PBE-GGA
Structure: optimized geometry

a = 4.6217 Å, b = 4.6217 Å, c = 4.6217 Å
α = 60.00°, β = 60.00°, γ = 60.00°
Positions (direct):
1 Co 0.2500 0.2500 0.2500
2 Ge 0.0000 0.0000 0.0000
3 Ge 0.7500 0.7500 0.7500
4 Hg 0.5000 0.5000 0.5000

Summary:
Symmetry   No. 216
VASP energy   -3.6049 eV/atom

=====

# 11
Compound: GaAsAuO
Source: the Open Quantum Materials Database
Functional: PBE-GGA
Structure: optimized geometry

a = 3.7652 Å, b = 3.7652 Å, c = 9.4931 Å
α = 90.00°, β = 90.00°, γ = 90.00°
Positions (direct):
1 As 0.7500 0.7500 0.2902
2 As 0.2500 0.2500 0.7098
3 Au 0.7500 0.2500 0.5000
4 Au 0.2500 0.7500 0.5000
5 Ga 0.2500 0.2500 0.0929
6 Ga 0.7500 0.7500 0.9071
7 O 0.7500 0.2500 0.0000
8 O 0.2500 0.7500 0.0000

Summary:
Energy above the most stable polymorph in this dataset   151.7 meV per atom
Symmetry   No. 129
VASP energy   -4.3066 eV/atom

=====

# 12
Compound: DyMgAg
Source: the Open Quantum Materials Database
Functional: PBE-GGA
Structure: optimized geometry

a = 4.7899 Å, b = 4.7899 Å, c = 4.7899 Å
α = 60.00°, β = 60.00°, γ = 60.00°
Positions (direct):
1 Ag 0.2500 0.2500 0.2500
2 Dy 0.7500 0.7500 0.7500
3 Mg 0.0000 0.0000 0.0000

Summary:
Symmetry   No. 216
VASP energy   -2.7210 eV/atom